Entry 1:
{
  "formula": "RbGa2SeBr",
  "functional": "PBE",
  "state": "optimized geometry",
  "e_tot_ry_per_atom": -0.190,
  "crystal_system": "tetragonal",
  "cell": [[5.675, 0.000, 0.000], [0.000, 6.195, 0.000], [0.000, 0.000, 5.675]],
  "species": ["Ga", "Ga", "Se", "Br", "Rb"],
  "fractional_positions": [[0.000, 0.000, 0.500], [0.500, 0.000, 0.000], [0.500, 0.500, 0.500], [0.000, 0.000, 0.000], [0.000, 0.500, 0.000]]
}

***

Entry 2:
{
  "formula": "Rb2GaSiBr6",
  "functional": "PBE",
  "state": "optimized geometry",
  "e_tot_ry_per_atom": -0.224,
  "crystal_system": "tetragonal",
  "cell": [[7.760, 0.000, 0.000], [0.000, 7.760, 0.000], [3.880, 3.880, 5.460]],
  "species": ["Ga", "Si", "Br", "Br", "Br", "Br", "Br", "Br", "Rb", "Rb"],
  "fractional_positions": [[0.000, 0.000, 0.000], [0.500, 0.500, 0.000], [0.261, 0.261, 0.477], [0.739, 0.739, 0.523], [0.262, 0.262, 0.000], [0.738, 0.738, 0.000], [0.738, 0.262, 0.000], [0.262, 0.738, 0.000], [0.750, 0.250, 0.500], [0.250, 0.750, 0.500]]
}

***

Entry 3:
{
  "formula": "Rb2GaSnBr6",
  "functional": "PBE",
  "state": "optimized geometry",
  "e_tot_ry_per_atom": -0.222,
  "crystal_system": "tetragonal",
  "cell": [[8.005, 0.000, 0.000], [0.000, 8.005, 0.000], [4.002, 4.002, 5.639]],
  "species": ["Ga", "Br", "Br", "Br", "Br", "Br", "Br", "Sn", "Rb", "Rb"],
  "fractional_positions": [[0.500, 0.500, 0.000], [0.256, 0.256, 0.488], [0.744, 0.744, 0.512], [0.256, 0.256, 0.000], [0.744, 0.744, 0.000], [0.744, 0.256, 0.000], [0.256, 0.744, 0.000], [0.000, 0.000, 0.000], [0.750, 0.250, 0.500], [0.250, 0.750, 0.500]]
}

***

Entry 4:
{
  "formula": "Rb2GaSnBr5",
  "functional": "PBE",
  "state": "optimized geometry",
  "e_tot_ry_per_atom": -0.226,
  "crystal_system": "orthorhombic",
  "cell": [[4.618, 0.000, 0.000], [-2.309, 9.818, 0.000], [0.000, 0.000, 15.501]],
  "species": ["Rb", "Rb", "Rb", "Rb", "Ga", "Ga", "Sn", "Sn", "Br", "Br", "Br", "Br", "Br", "Br", "Br", "Br", "Br", "Br"],
  "fractional_positions": [[0.866, 0.732, 0.799], [0.088, 0.177, 0.656], [0.134, 0.268, 0.299], [0.912, 0.823, 0.156], [0.538, 0.075, 0.951], [0.462, 0.925, 0.451], [0.777, 0.554, 0.527], [0.223, 0.446, 0.027], [0.376, 0.751, 0.988], [0.699, 0.397, 0.902], [0.499, 0.998, 0.771], [0.264, 0.527, 0.660], [0.921, 0.843, 0.570], [0.624, 0.249, 0.488], [0.301, 0.603, 0.402], [0.501, 0.002, 0.271], [0.736, 0.473, 0.160], [0.079, 0.157, 0.070]]
}

***

Entry 5:
{
  "formula": "RbGaSnBr4",
  "functional": "PBE",
  "state": "optimized geometry",
  "e_tot_ry_per_atom": -0.226,
  "crystal_system": "monoclinic",
  "cell": [[6.835, 0.000, -0.666], [0.000, 7.609, 0.000], [-2.994, 0.000, 10.356]],
  "species": ["Rb", "Rb", "Ga", "Ga", "Sn", "Sn", "Br", "Br", "Br", "Br", "Br", "Br", "Br", "Br"],
  "fractional_positions": [[0.755, 0.750, 0.956], [0.245, 0.250, 0.044], [0.930, 0.750, 0.517], [0.070, 0.250, 0.483], [0.374, 0.750, 0.336], [0.626, 0.250, 0.664], [0.941, 0.496, 0.730], [0.059, 0.996, 0.270], [0.059, 0.504, 0.270], [0.941, 0.004, 0.730], [0.332, 0.750, 0.066], [0.668, 0.250, 0.934], [0.356, 0.750, 0.623], [0.644, 0.250, 0.377]]
}

***

Entry 6:
{
  "formula": "Rb2SrGaBr",
  "functional": "PBE",
  "state": "optimized geometry",
  "e_tot_ry_per_atom": -0.118,
  "crystal_system": "tetragonal",
  "cell": [[-5.735, 5.286, -1.720], [0.738, -1.077, -5.771], [-5.469, -5.808, 0.384]],
  "species": ["Sr", "Ga", "Br", "Rb", "Rb"],
  "fractional_positions": [[0.000, 0.000, 0.000], [0.000, 0.500, 0.000], [0.500, 0.500, 0.500], [0.000, 0.000, 0.500], [0.500, 0.000, 0.000]]
}

***

Entry 7:
{
  "formula": "RbSrGa2Br8",
  "functional": "PBE",
  "state": "optimized geometry",
  "e_tot_ry_per_atom": -0.223,
  "crystal_system": "trigonal",
  "cell": [[-1.777, 2.133, 6.588], [3.210, -2.910, 5.686], [7.687, 6.940, 3.705]],
  "species": ["Rb", "Sr", "Ga", "Ga", "Br", "Br", "Br", "Br", "Br", "Br", "Br", "Br"],
  "fractional_positions": [[0.500, 0.500, 0.500], [0.000, 0.000, 0.000], [0.249, 0.249, 0.254], [0.751, 0.751, 0.746], [0.170, 0.170, 0.490], [0.595, 0.297, 0.179], [0.830, 0.830, 0.510], [0.930, 0.595, 0.179], [0.070, 0.405, 0.821], [0.297, 0.930, 0.179], [0.703, 0.070, 0.821], [0.405, 0.703, 0.821]]
}

***

Entry 8:
{
  "formula": "Rb2SrGaBr5",
  "functional": "PBE",
  "state": "optimized geometry",
  "e_tot_ry_per_atom": -0.239,
  "crystal_system": "orthorhombic",
  "cell": [[4.702, 0.000, 0.000], [-2.351, 9.934, 0.000], [0.000, 0.000, 15.484]],
  "species": ["Rb", "Rb", "Rb", "Rb", "Sr", "Sr", "Ga", "Ga", "Br", "Br", "Br", "Br", "Br", "Br", "Br", "Br", "Br", "Br"],
  "fractional_positions": [[0.869, 0.738, 0.800], [0.086, 0.172, 0.657], [0.131, 0.262, 0.300], [0.914, 0.828, 0.157], [0.776, 0.552, 0.527], [0.224, 0.448, 0.027], [0.544, 0.087, 0.951], [0.456, 0.913, 0.451], [0.374, 0.749, 0.989], [0.698, 0.397, 0.900], [0.498, 0.997, 0.771], [0.262, 0.524, 0.660], [0.924, 0.848, 0.569], [0.626, 0.251, 0.489], [0.302, 0.603, 0.400], [0.502, 0.003, 0.271], [0.738, 0.476, 0.160], [0.076, 0.152, 0.069]]
}

***

Entry 9:
{
  "formula": "Rb2SrGaBr6",
  "functional": "PBE",
  "state": "optimized geometry",
  "e_tot_ry_per_atom": -0.230,
  "crystal_system": "cubic",
  "cell": [[8.135, 0.000, 0.000], [0.000, 8.135, 0.000], [4.067, 4.067, 5.749]],
  "species": ["Sr", "Ga", "Br", "Br", "Br", "Br", "Br", "Br", "Rb", "Rb"],
  "fractional_positions": [[0.000, 0.000, 0.000], [0.500, 0.500, 0.000], [0.261, 0.261, 0.478], [0.739, 0.739, 0.522], [0.261, 0.261, 0.000], [0.739, 0.739, 0.000], [0.739, 0.261, 0.000], [0.261, 0.739, 0.000], [0.750, 0.250, 0.500], [0.250, 0.750, 0.500]]
}

***

Entry 10:
{
  "formula": "RbTbGa2Br6",
  "functional": "PBE",
  "state": "optimized geometry",
  "e_tot_ry_per_atom": -0.257,
  "crystal_system": "triclinic",
  "cell": [[7.899, 0.010, 0.006], [3.958, 6.832, 0.003], [3.958, 2.281, 7.078]],
  "species": ["Rb", "Tb", "Ga", "Ga", "Br", "Br", "Br", "Br", "Br", "Br"],
  "fractional_positions": [[0.811, 0.812, 0.565], [0.325, 0.325, 0.025], [0.516, 0.516, 0.452], [0.007, 0.008, 0.978], [0.564, 0.244, 0.233], [0.244, 0.958, 0.233], [0.958, 0.565, 0.233], [0.371, 0.708, 0.765], [0.710, 0.154, 0.765], [0.156, 0.371, 0.765]]
}

***

Entry 11:
{
  "formula": "Rb2GaTcBr6",
  "functional": "PBE",
  "state": "optimized geometry",
  "e_tot_ry_per_atom": -0.254,
  "crystal_system": "cubic",
  "cell": [[7.803, 0.000, 0.000], [0.000, 7.803, 0.000], [3.902, 3.902, 5.514]],
  "species": ["Ga", "Br", "Br", "Br", "Br", "Br", "Br", "Tc", "Rb", "Rb"],
  "fractional_positions": [[0.500, 0.500, 0.000], [0.233, 0.233, 0.534], [0.767, 0.767, 0.466], [0.233, 0.233, 0.000], [0.767, 0.767, 0.000], [0.767, 0.233, 0.000], [0.233, 0.767, 0.000], [0.000, 0.000, 0.000], [0.750, 0.250, 0.500], [0.250, 0.750, 0.500]]
}

***

Entry 12:
{
  "formula": "RbThGa2Br8",
  "functional": "PBE",
  "state": "optimized geometry",
  "e_tot_ry_per_atom": -0.259,
  "crystal_system": "triclinic",
  "cell": [[-3.982, -4.886, -3.502], [2.622, -5.501, 3.589], [-6.862, -0.505, 6.774]],
  "species": ["Rb", "Th", "Ga", "Ga", "Br", "Br", "Br", "Br", "Br", "Br", "Br", "Br"],
  "fractional_positions": [[0.000, 0.000, 0.500], [0.000, 0.000, 0.000], [0.480, 0.460, 0.719], [0.520, 0.540, 0.281], [0.153, 0.743, 0.226], [0.693, 0.769, 0.017], [0.813, 0.221, 0.203], [0.847, 0.257, 0.774], [0.307, 0.231, 0.983], [0.187, 0.779, 0.797], [0.632, 0.701, 0.493], [0.368, 0.299, 0.507]]
}

***

Entry 13:
{
  "formula": "RbTi2GaBr8",
  "functional": "PBE",
  "state": "optimized geometry",
  "e_tot_ry_per_atom": -0.285,
  "crystal_system": "trigonal",
  "cell": [[-4.106, -4.611, 3.691], [2.133, -1.631, -6.673], [8.616, -4.573, 3.872]],
  "species": ["Rb", "Ti", "Ti", "Ga", "Br", "Br", "Br", "Br", "Br", "Br", "Br", "Br"],
  "fractional_positions": [[0.000, 0.000, 0.000], [0.667, 0.333, 0.237], [0.333, 0.667, 0.763], [0.000, 0.000, 0.500], [0.333, 0.667, 0.994], [0.336, 0.319, 0.305], [0.681, 0.017, 0.305], [0.667, 0.333, 0.006], [0.319, 0.983, 0.695], [0.664, 0.681, 0.695], [0.017, 0.336, 0.695], [0.983, 0.664, 0.305]]
}

***

Entry 14:
{
  "formula": "RbTl2GaBr4",
  "functional": "PBE",
  "state": "optimized geometry",
  "e_tot_ry_per_atom": -0.214,
  "crystal_system": "monoclinic",
  "cell": [[-4.432, -0.939, -1.433], [-2.072, -1.990, 7.709], [-2.687, 6.700, 3.921]],
  "species": ["Rb", "Tl", "Tl", "Ga", "Br", "Br", "Br", "Br"],
  "fractional_positions": [[0.000, 0.500, 0.500], [0.000, 0.000, 0.000], [0.500, 0.000, 0.500], [0.500, 0.500, 0.000], [0.000, 0.740, 0.763], [0.000, 0.260, 0.237], [0.500, 0.747, 0.239], [0.500, 0.253, 0.761]]
}

***

Entry 15:
{
  "formula": "Rb2TlGaBr6",
  "functional": "PBE",
  "state": "optimized geometry",
  "e_tot_ry_per_atom": -0.212,
  "crystal_system": "cubic",
  "cell": [[-1.034, -1.163, -7.929], [-4.599, -6.105, -2.622], [-7.170, 1.516, -3.405]],
  "species": ["Rb", "Rb", "Tl", "Ga", "Br", "Br", "Br", "Br", "Br", "Br"],
  "fractional_positions": [[0.750, 0.750, 0.750], [0.250, 0.250, 0.250], [0.500, 0.500, 0.500], [0.000, 0.000, 0.000], [0.774, 0.226, 0.226], [0.226, 0.226, 0.774], [0.226, 0.774, 0.774], [0.226, 0.774, 0.226], [0.774, 0.226, 0.774], [0.774, 0.774, 0.226]]
}

***

Entry 16:
{
  "formula": "Rb3Tl2GaBr6",
  "functional": "PBE",
  "state": "optimized geometry",
  "e_tot_ry_per_atom": -0.218,
  "crystal_system": "monoclinic",
  "cell": [[4.832, 0.000, 0.000], [0.000, 9.613, 0.367], [-2.416, -2.740, 10.120]],
  "species": ["Rb", "Rb", "Rb", "Tl", "Tl", "Ga", "Br", "Br", "Br", "Br", "Br", "Br"],
  "fractional_positions": [[0.500, 0.500, 0.000], [0.832, 0.168, 0.663], [0.168, 0.832, 0.337], [0.835, 0.671, 0.671], [0.165, 0.329, 0.329], [0.500, 0.000, 0.000], [0.341, 0.920, 0.683], [0.667, 0.578, 0.335], [0.659, 0.080, 0.317], [0.001, 0.230, 0.001], [0.999, 0.770, 0.999], [0.333, 0.422, 0.665]]
}

***

Entry 17:
{
  "formula": "Rb2TlGaBr4",
  "functional": "PBE",
  "state": "optimized geometry",
  "e_tot_ry_per_atom": -0.218,
  "crystal_system": "monoclinic",
  "cell": [[-0.376, -0.031, 4.798], [-3.175, -7.626, -0.298], [6.142, -5.605, 0.445]],
  "species": ["Rb", "Rb", "Tl", "Ga", "Br", "Br", "Br", "Br"],
  "fractional_positions": [[0.000, 0.000, 0.000], [0.500, 0.000, 0.500], [0.000, 0.500, 0.500], [0.500, 0.500, 0.000], [0.000, 0.730, 0.767], [0.000, 0.270, 0.233], [0.500, 0.737, 0.244], [0.500, 0.263, 0.756]]
}

***

Entry 18:
{
  "formula": "Rb2TmGaBr6",
  "functional": "PBE",
  "state": "optimized geometry",
  "e_tot_ry_per_atom": -0.260,
  "crystal_system": "monoclinic",
  "cell": [[-3.590, -0.695, 7.034], [-1.523, -7.987, -1.567], [9.890, -2.836, 4.845]],
  "species": ["Rb", "Rb", "Rb", "Rb", "Tm", "Tm", "Ga", "Ga", "Br", "Br", "Br", "Br", "Br", "Br", "Br", "Br", "Br", "Br", "Br", "Br"],
  "fractional_positions": [[0.022, 0.932, 0.251], [0.522, 0.568, 0.751], [0.978, 0.068, 0.749], [0.478, 0.432, 0.249], [0.500, 0.000, 0.500], [0.000, 0.500, 0.000], [0.500, 0.000, 0.000], [0.000, 0.500, 0.500], [0.284, 0.687, 0.044], [0.784, 0.813, 0.544], [0.716, 0.313, 0.956], [0.216, 0.187, 0.456], [0.317, 0.720, 0.453], [0.817, 0.780, 0.953], [0.683, 0.280, 0.547], [0.183, 0.220, 0.047], [0.909, 0.522, 0.235], [0.409, 0.978, 0.735], [0.091, 0.478, 0.765], [0.591, 0.022, 0.265]]
}

***

Entry 19:
{
  "formula": "Rb2VGaBr6",
  "functional": "PBE",
  "state": "optimized geometry",
  "e_tot_ry_per_atom": -0.262,
  "crystal_system": "cubic",
  "cell": [[-5.516, 1.061, 5.443], [-5.032, -4.183, -4.285], [-3.627, -6.173, 3.147]],
  "species": ["Ga", "Br", "Br", "Br", "Br", "Br", "Br", "Rb", "Rb", "V"],
  "fractional_positions": [[0.000, 0.000, 0.000], [0.268, 0.268, 0.464], [0.732, 0.732, 0.536], [0.268, 0.268, 0.000], [0.732, 0.732, 0.000], [0.732, 0.268, 0.000], [0.268, 0.732, 0.000], [0.750, 0.250, 0.500], [0.250, 0.750, 0.500], [0.500, 0.500, 0.000]]
}

***

Entry 20:
{
  "formula": "Rb2GaWBr6",
  "functional": "PBE",
  "state": "optimized geometry",
  "e_tot_ry_per_atom": -0.272,
  "crystal_system": "cubic",
  "cell": [[7.913, 0.000, 0.000], [0.000, 7.913, 0.000], [3.956, 3.956, 5.594]],
  "species": ["Ga", "Br", "Br", "Br", "Br", "Br", "Br", "Rb", "Rb", "W"],
  "fractional_positions": [[0.500, 0.500, 0.000], [0.233, 0.233, 0.534], [0.767, 0.767, 0.466], [0.233, 0.233, 0.000], [0.767, 0.767, 0.000], [0.767, 0.233, 0.000], [0.233, 0.767, 0.000], [0.750, 0.250, 0.500], [0.250, 0.750, 0.500], [0.000, 0.000, 0.000]]
}